This record from the Alexandria database describes a relaxed structure of Sr2YNi2. The functional is PBE-GGA.

POSCAR file:
```
Sr2YNi2
1.0
-1.3211 -0.8084 7.2714
4.0332 -6.2454 0.0385
3.9076 2.5296 0.9912
Y Sr Ni
2 4 4
Direct
0.0000 0.0000 0.0000
0.5000 0.5000 0.0000
0.1717 0.6717 0.5000
0.6717 0.8283 0.5000
0.8283 0.3283 0.5000
0.3283 0.1717 0.5000
0.3869 0.8869 0.0000
0.8869 0.6131 0.0000
0.6131 0.1131 0.0000
0.1131 0.3869 0.0000
```

## Properties
The offset from the most stable computed form comes out at 0.000 eV per atom. The total magnetic moment is 0.00 Bohr magnetons per cell.